1.
A plane-wave DFT calculation with meta-GGA SCAN was carried out for Ba2Li2In at its PBEsol-relaxed geometry.

Structure (POSCAR):
```
Ba2Li2In
1.0
4.080 0.000 0.000
0.000 4.080 0.000
-2.040 -2.040 10.723
In Ba Li
1 2 2
direct
0.000 0.000 0.000
0.401 0.401 0.802
0.599 0.599 0.198
0.250 0.750 0.500
0.750 0.250 0.500
```

Output
space-group type: No. 139
offset from the most stable computed form: 0.00 kcal/mol of atoms
total DFT energy (no corrections): -23.636 eV per atom
calculated formation energy: -4.2 kcal/mol of atoms


2.
A plane-wave DFT calculation with meta-GGA SCAN was carried out for Y2ScOs at its PBEsol-relaxed geometry.

Structure (POSCAR):
```
Y2ScOs
1.0
3.434 0.000 0.000
0.000 5.051 0.000
-1.717 -2.526 5.312
Os Sc Y
1 1 2
direct
0.508 0.508 0.016
0.196 0.696 0.392
0.000 0.000 0.000
0.796 0.296 0.593
```

Output
space-group type: No. 44
offset from the most stable computed form: 0.00 kcal/mol of atoms
total DFT energy (no corrections): -35.711 eV per atom
calculated formation energy: -6.0 kcal/mol of atoms


3.
A plane-wave DFT calculation with meta-GGA SCAN was carried out for LaBeCo2 at its PBEsol-relaxed geometry.

Structure (POSCAR):
```
LaBeCo2
1.0
3.933 0.000 0.000
1.966 3.406 0.000
1.966 1.135 4.777
Be Co La
1 2 1
direct
0.000 0.000 0.000
0.321 0.321 0.037
0.679 0.679 0.963
0.500 0.500 0.500
```

Output
space-group type: No. 166
total DFT energy (no corrections): -20.582 eV per atom
calculated formation energy: -1.5 kcal/mol of atoms


4.
A plane-wave DFT calculation with meta-GGA SCAN was carried out for CrSiAg at its PBEsol-relaxed geometry.

Structure (POSCAR):
```
CrSiAg
1.0
-1.615 -0.133 -2.195
2.366 -1.358 0.037
-2.966 -5.099 2.492
Ag Cr Si
1 1 1
direct
0.000 0.000 0.000
0.333 0.667 0.644
0.667 0.333 0.355
```

Output
space-group type: No. 156
E_form (uncorrected): 7.9 kcal/mol of atoms
total DFT energy (no corrections): -19.578 eV per atom


5.
A plane-wave DFT calculation with meta-GGA SCAN was carried out for SbAsSe2F at its PBEsol-relaxed geometry.

Structure (POSCAR):
```
SbAsSe2F
1.0
5.165 0.000 0.000
0.000 5.165 0.000
0.000 0.000 5.355
Sb As Se F
1 1 2 1
direct
0.000 0.000 0.000
0.000 0.000 0.500
0.000 0.500 0.000
0.500 0.000 0.000
0.500 0.500 0.500
```

Output
space-group type: No. 123
E_form (uncorrected): 15.1 kcal/mol of atoms
total DFT energy (no corrections): -19.575 eV per atom


6.
A plane-wave DFT calculation with meta-GGA SCAN was carried out for MnCo2O6 at its PBEsol-relaxed geometry.

Structure (POSCAR):
```
MnCo2O6
1.0
2.807 0.000 0.000
0.000 5.583 0.047
-1.404 -1.427 5.923
Mn Co O
1 2 6
direct
0.500 0.000 0.000
0.167 0.332 0.334
0.833 0.668 0.666
0.658 0.110 0.316
0.991 0.772 0.982
0.321 0.447 0.642
0.009 0.228 0.018
0.342 0.890 0.684
0.679 0.553 0.358
```

Output
space-group type: No. 12
E_form (uncorrected): -31.4 kcal/mol of atoms
total DFT energy (no corrections): -11.388 eV per atom


7.
A plane-wave DFT calculation with meta-GGA SCAN was carried out for Cu3BPt at its PBEsol-relaxed geometry.

Structure (POSCAR):
```
Cu3BPt
1.0
3.875 0.000 0.000
0.000 3.875 0.000
0.000 0.000 3.875
B Cu Pt
1 3 1
direct
0.000 0.000 0.000
0.000 0.500 0.000
0.000 0.000 0.500
0.500 0.000 0.000
0.500 0.500 0.500
```

Output
space-group type: No. 221
total DFT energy (no corrections): -24.404 eV per atom
calculated formation energy: 5.5 kcal/mol of atoms


8.
A plane-wave DFT calculation with meta-GGA SCAN was carried out for HfPbO3 at its PBEsol-relaxed geometry.

Structure (POSCAR):
```
HfPbO3
1.0
5.776 0.000 0.000
0.000 5.781 0.000
0.000 0.000 8.164
Hf Pb O
4 4 12
direct
0.000 0.000 0.500
0.000 0.000 0.000
0.500 0.500 0.500
0.500 0.500 0.000
0.494 0.017 0.750
0.994 0.483 0.250
0.006 0.517 0.750
0.506 0.983 0.250
0.064 0.009 0.250
0.719 0.219 0.034
0.719 0.219 0.466
0.219 0.281 0.966
0.219 0.281 0.534
0.564 0.491 0.750
0.436 0.509 0.250
0.781 0.719 0.034
0.781 0.719 0.466
0.281 0.781 0.534
0.281 0.781 0.966
0.936 0.991 0.750
```

Output
space-group type: No. 62
E_form (uncorrected): -63.7 kcal/mol of atoms
total DFT energy (no corrections): -34.193 eV per atom


9.
A plane-wave DFT calculation with meta-GGA SCAN was carried out for BeAl2Mo at its PBEsol-relaxed geometry.

Structure (POSCAR):
```
BeAl2Mo
1.0
3.234 0.000 0.000
0.000 3.234 0.000
0.000 0.000 5.327
Be Mo Al
1 1 2
direct
0.500 0.500 0.000
0.500 0.500 0.500
0.000 0.000 0.752
0.000 0.000 0.248
```

Output
space-group type: No. 123
total DFT energy (no corrections): -13.668 eV per atom
calculated formation energy: 0.4 kcal/mol of atoms


10.
A plane-wave DFT calculation with meta-GGA SCAN was carried out for InFeAs2 at its PBEsol-relaxed geometry.

Structure (POSCAR):
```
InFeAs2
1.0
2.922 0.000 0.000
0.000 2.922 0.000
0.000 0.000 8.356
As Fe In
2 1 1
direct
0.000 0.000 0.831
0.000 0.000 0.169
0.500 0.500 0.000
0.500 0.500 0.500
```

Output
space-group type: No. 123
total DFT energy (no corrections): -22.924 eV per atom
calculated formation energy: 1.2 kcal/mol of atoms


11.
A plane-wave DFT calculation with meta-GGA SCAN was carried out for InGaSbTe2 at its PBEsol-relaxed geometry.

Structure (POSCAR):
```
InGaSbTe2
1.0
-3.287 3.399 2.173
-2.947 -4.084 1.931
2.966 -0.011 4.505
Sb Te Ga In
1 2 1 1
direct
0.500 0.000 0.000
0.000 0.000 0.500
0.000 0.500 0.000
0.000 0.000 0.000
0.500 0.500 0.500
```

Output
space-group type: No. 123
E_form (uncorrected): 7.1 kcal/mol of atoms
total DFT energy (no corrections): -31.990 eV per atom


12.
A plane-wave DFT calculation with meta-GGA SCAN was carried out for ReSiSnHg2 at its PBEsol-relaxed geometry.

Structure (POSCAR):
```
ReSiSnHg2
1.0
4.819 0.000 0.000
0.000 4.819 0.000
0.000 0.000 5.282
Re Si Hg Sn
1 1 2 1
direct
0.500 0.500 0.500
0.000 0.000 0.000
0.000 0.500 0.000
0.500 0.000 0.000
0.000 0.000 0.500
```

Output
space-group type: No. 123
E_form (uncorrected): 34.1 kcal/mol of atoms
total DFT energy (no corrections): -49.193 eV per atom


13.
A plane-wave DFT calculation with meta-GGA SCAN was carried out for LaMnCd2 at its PBEsol-relaxed geometry.

Structure (POSCAR):
```
LaMnCd2
1.0
-0.678 -1.471 -4.037
4.278 -0.619 -0.493
-0.458 -4.544 1.733
Cd La Mn
2 1 1
direct
0.000 0.000 0.000
0.500 0.500 0.000
0.500 0.000 0.500
0.000 0.500 0.500
```

Output
space-group type: No. 123
total DFT energy (no corrections): -30.609 eV per atom
calculated formation energy: -1.4 kcal/mol of atoms